1.
{
  "formula": "AcEu2Sb",
  "functional": "PBE",
  "state": "relaxed",
  "e_above_lowest_polymorph_ev_per_atom": 0.273,
  "density_g_cm3": 6.42,
  "formation_energy_uncorrected_ev_per_atom": -0.230,
  "space_group": "R-3m, No. 166",
  "vol_a3_per_atom": 42.19,
  "lattice": [[2.0328, 1.1736, 11.7905], [-2.0328, 1.1736, 11.7905], [0.0000, -2.3472, 11.7905]],
  "species": ["Ac", "Eu", "Eu", "Sb"],
  "frac_coords": [[0.0000, 0.0000, 0.0000], [0.1068, 0.1068, 0.1068], [0.8932, 0.8932, 0.8932], [0.5000, 0.5000, 0.5000]]
}

=====

2.
{
  "formula": "Zn2CdCuAu4",
  "functional": "PBE",
  "state": "relaxed",
  "final_energy_ev_per_atom": -2.7262,
  "density_g_cm3": 13.50,
  "space_group": "R-3m, No. 166",
  "vol_a3_per_atom": 16.83,
  "lattice": [[2.2886, 1.3214, 7.4192], [-2.2886, 1.3214, 7.4192], [0.0000, -2.6427, 7.4192]],
  "species": ["Zn", "Zn", "Cd", "Cu", "Au", "Au", "Au", "Au"],
  "frac_coords": [[0.2504, 0.2504, 0.2504], [0.7496, 0.7496, 0.7496], [0.0000, 0.0000, 0.0000], [0.5000, 0.5000, 0.5000], [0.1302, 0.1302, 0.1302], [0.3818, 0.3818, 0.3818], [0.6182, 0.6182, 0.6182], [0.8698, 0.8698, 0.8698]]
}